# HfTiPb (PBE-GGA, relaxed)
# DFT formation energy in eV/atom: 0.087
# ΔE to the lowest computed polymorph in kJ per mole of atoms: 10.47
# Size of the total moment in μB/atom: 0.00
# DOS(E_F) in states/eV/cell: 13.4
data_HfTiPb
_chemical_formula_sum 'Hf4 Ti4 Pb4'
_space_group_name_H-M_alt 'C 1 2/m 1'
_space_group_IT_number 12
_cell_length_a 15.9092
_cell_length_b 3.1851
_cell_length_c 5.3122
_cell_angle_alpha 90.00
_cell_angle_beta 104.78
_cell_angle_gamma 90.00
loop_
_space_group_symop_operation_xyz
'x,y,z'
'-x,-y,-z'
'-x,y,-z'
'x,-y,z'
'x+1/2,y+1/2,z'
'-x+1/2,-y+1/2,-z'
'-x+1/2,y+1/2,-z'
'x+1/2,-y+1/2,z'
loop_
_atom_site_label
_atom_site_type_symbol
_atom_site_fract_x
_atom_site_fract_y
_atom_site_fract_z
Hf1 Hf 0.1592 0.0000 0.2980
Ti1 Ti 0.0000 0.0000 0.5000
Ti2 Ti 0.0000 0.5000 0.0000
Pb1 Pb 0.1546 0.5000 0.7888